(1)
{"formula": "Sc2VAgC", "functional": "PBE", "state": "relaxed", "dos_ef_per_ev_cell": 4.880, "space_group": "P4/mmm", "m_tot_mub_per_fu": 1.65, "delta_e_f_ev_per_atom": -0.2770, "lattice": [[-3.148, -2.071, 2.626], [2.658, -3.738, 0.239], [1.753, 1.454, 3.248]], "species": ["Sc", "Sc", "C", "Ag", "V"], "frac_coords": [[0.000, 0.500, 0.000], [0.500, 0.000, 0.000], [0.000, 0.000, 0.000], [0.500, 0.500, 0.500], [0.000, 0.000, 0.500]]}



(2)
{"formula": "PaTiZn2", "functional": "PBE", "state": "relaxed", "e_above_lowest_polymorph_ev_per_atom": 0.165, "dos_ef_per_ev_cell": 4.838, "space_group": "P4/mmm", "m_tot_mub_per_fu": 0.00, "delta_e_f_ev_per_atom": 0.0725, "lattice": [[-3.295, 1.746, 2.517], [0.544, -2.947, 2.756], [2.718, 2.322, 1.947]], "species": ["Zn", "Zn", "Pa", "Ti"], "frac_coords": [[0.000, 0.000, 0.500], [0.000, 0.500, 0.000], [0.500, 0.500, 0.500], [0.500, 0.000, 0.000]]}